Record 1
{
  "formula": "Li2LaSi",
  "functional": "PBE-GGA",
  "state": "relaxed",
  "lattice_angstrom": [[4.350, 0.000, 0.000], [0.000, 4.354, 0.000], [0.000, 0.000, 4.945]],
  "species": ["La", "Li", "Li", "Si"],
  "frac_coords": [[0.000, 0.500, 0.500], [0.000, 0.000, 0.000], [0.500, 0.500, 0.000], [0.500, 0.000, 0.500]],
  "raw_formation_energy_ev_per_fu": -0.573,
  "e_tot_ev_per_atom": -3.69,
  "dos_at_fermi_per_ev_cell": 2.1,
  "space_group": "P4/mmm (123)"
}

=====

Record 2
{
  "formula": "LiAc2ScTe5",
  "functional": "PBE-GGA",
  "state": "relaxed",
  "lattice_angstrom": [[-1.848, 1.887, 3.676], [-7.144, 0.690, -6.734], [-4.668, -11.854, 3.739]],
  "species": ["Li", "Li", "Ac", "Ac", "Ac", "Ac", "Sc", "Sc", "Te", "Te", "Te", "Te", "Te", "Te", "Te", "Te", "Te", "Te"],
  "frac_coords": [[0.565, 0.130, 0.959], [0.435, 0.870, 0.459], [0.872, 0.744, 0.805], [0.108, 0.217, 0.688], [0.128, 0.256, 0.305], [0.892, 0.783, 0.188], [0.805, 0.610, 0.512], [0.195, 0.390, 0.012], [0.352, 0.704, 0.001], [0.694, 0.387, 0.858], [0.498, 0.996, 0.782], [0.285, 0.570, 0.658], [0.948, 0.896, 0.561], [0.648, 0.296, 0.501], [0.306, 0.613, 0.358], [0.502, 0.004, 0.282], [0.715, 0.430, 0.158], [0.052, 0.104, 0.061]],
  "raw_formation_energy_ev_per_fu": -12.561,
  "e_tot_ev_per_atom": -4.97,
  "space_group": "Cmc2_1 (36)"
}

=====

no.,size of the total moment (μB per formula unit)
1,0.00
2,0.00